# YSnTe3Au, optimized geometry, DFT PBE
# **Calculated volume**: 720.1 Å³ per cell
# **Size of the total moment**: 0.00 μB/f.u.
# **Total DFT energy (no corrections)**: -4.52 eV/atom
# **Polymorph energy (0 for the lowest one)**: 0.02 eV/f.u.
# **SG**: Pnma, No. 62
data_YSnTe3Au
_symmetry_space_group_name_H-M 'P 1'
_symmetry_Int_Tables_number 1
_symmetry_space_group_name_Hall 'P 1'
_cell_length_a 14.511
_cell_length_b 4.289
_cell_length_c 11.571
_cell_angle_alpha 90.00
_cell_angle_beta 90.00
_cell_angle_gamma 90.00
loop_
_atom_site_label
_atom_site_type_symbol
_atom_site_fract_x
_atom_site_fract_y
_atom_site_fract_z
Y1 Y 0.007 0.250 0.182
Y2 Y 0.493 0.750 0.682
Y3 Y 0.507 0.250 0.318
Y4 Y 0.993 0.750 0.818
Sn1 Sn 0.222 0.250 0.443
Sn2 Sn 0.278 0.750 0.943
Sn3 Sn 0.722 0.250 0.057
Sn4 Sn 0.778 0.750 0.557
Te1 Te 0.110 0.250 0.944
Te2 Te 0.127 0.750 0.617
Te3 Te 0.153 0.750 0.249
Te4 Te 0.347 0.250 0.749
Te5 Te 0.373 0.250 0.117
Te6 Te 0.390 0.750 0.444
Te7 Te 0.610 0.250 0.556
Te8 Te 0.627 0.750 0.883
Te9 Te 0.653 0.750 0.251
Te10 Te 0.847 0.250 0.751
Te11 Te 0.873 0.250 0.383
Te12 Te 0.890 0.750 0.056
Au1 Au 0.008 0.750 0.407
Au2 Au 0.492 0.250 0.907
Au3 Au 0.508 0.750 0.093
Au4 Au 0.992 0.250 0.593


# YSnTe3Au, optimized geometry, DFT PBE
# **Calculated volume**: 364.3 Å³ per cell
# **Size of the total moment**: 0.01 μB/f.u.
# **Total DFT energy (no corrections)**: -4.50 eV/atom
# **Polymorph energy (0 for the lowest one)**: 0.18 eV/f.u.
# **SG**: C2/m, No. 12
data_YSnTe3Au
_symmetry_space_group_name_H-M 'P 1'
_symmetry_Int_Tables_number 1
_symmetry_space_group_name_Hall 'P 1'
_cell_length_a 10.149
_cell_length_b 10.149
_cell_length_c 8.783
_cell_angle_alpha 100.91
_cell_angle_beta 100.91
_cell_angle_gamma 24.23
loop_
_atom_site_label
_atom_site_type_symbol
_atom_site_fract_x
_atom_site_fract_y
_atom_site_fract_z
Y1 Y 0.160 0.160 0.091
Y2 Y 0.840 0.840 0.909
Sn1 Sn 0.123 0.123 0.574
Sn2 Sn 0.877 0.877 0.426
Te1 Te 0.000 0.000 0.000
Te2 Te 0.311 0.311 0.647
Te3 Te 0.323 0.323 0.152
Te4 Te 0.500 0.500 0.500
Te5 Te 0.677 0.677 0.848
Te6 Te 0.689 0.689 0.353
Au1 Au 0.447 0.447 0.786
Au2 Au 0.553 0.553 0.214


# YSnTe3Au, optimized geometry, DFT PBE
# **Calculated volume**: 764.1 Å³ per cell
# **Size of the total moment**: 0.00 μB/f.u.
# **Total DFT energy (no corrections)**: -4.49 eV/atom
# **Polymorph energy (0 for the lowest one)**: 0.19 eV/f.u.
# **SG**: Pnma, No. 62
data_YSnTe3Au
_symmetry_space_group_name_H-M 'P 1'
_symmetry_Int_Tables_number 1
_symmetry_space_group_name_Hall 'P 1'
_cell_length_a 10.276
_cell_length_b 4.451
_cell_length_c 16.706
_cell_angle_alpha 90.00
_cell_angle_beta 90.00
_cell_angle_gamma 90.00
loop_
_atom_site_label
_atom_site_type_symbol
_atom_site_fract_x
_atom_site_fract_y
_atom_site_fract_z
Y1 Y 0.194 0.250 0.033
Y2 Y 0.306 0.750 0.533
Y3 Y 0.694 0.250 0.467
Y4 Y 0.806 0.750 0.967
Sn1 Sn 0.173 0.750 0.282
Sn2 Sn 0.327 0.250 0.782
Sn3 Sn 0.673 0.750 0.218
Sn4 Sn 0.827 0.250 0.718
Te1 Te 0.027 0.750 0.122
Te2 Te 0.135 0.250 0.465
Te3 Te 0.176 0.750 0.703
Te4 Te 0.324 0.250 0.203
Te5 Te 0.365 0.750 0.965
Te6 Te 0.473 0.250 0.622
Te7 Te 0.527 0.750 0.378
Te8 Te 0.635 0.250 0.035
Te9 Te 0.676 0.750 0.797
Te10 Te 0.824 0.250 0.297
Te11 Te 0.865 0.750 0.535
Te12 Te 0.973 0.250 0.878
Au1 Au 0.123 0.750 0.904
Au2 Au 0.377 0.250 0.404
Au3 Au 0.623 0.750 0.596
Au4 Au 0.877 0.250 0.096


# YSnTe3Au, optimized geometry, DFT PBE
# **Calculated volume**: 705.5 Å³ per cell
# **Size of the total moment**: 0.00 μB/f.u.
# **Total DFT energy (no corrections)**: -4.48 eV/atom
# **Polymorph energy (0 for the lowest one)**: 0.29 eV/f.u.
# **SG**: Pnma, No. 62
data_YSnTe3Au
_symmetry_space_group_name_H-M 'P 1'
_symmetry_Int_Tables_number 1
_symmetry_space_group_name_Hall 'P 1'
_cell_length_a 12.729
_cell_length_b 4.397
_cell_length_c 12.605
_cell_angle_alpha 90.00
_cell_angle_beta 90.00
_cell_angle_gamma 90.00
loop_
_atom_site_label
_atom_site_type_symbol
_atom_site_fract_x
_atom_site_fract_y
_atom_site_fract_z
Y1 Y 0.037 0.250 0.193
Y2 Y 0.463 0.750 0.693
Y3 Y 0.537 0.250 0.307
Y4 Y 0.963 0.750 0.807
Sn1 Sn 0.201 0.250 0.466
Sn2 Sn 0.299 0.750 0.966
Sn3 Sn 0.701 0.250 0.034
Sn4 Sn 0.799 0.750 0.534
Te1 Te 0.023 0.750 0.367
Te2 Te 0.091 0.250 0.936
Te3 Te 0.218 0.750 0.674
Te4 Te 0.282 0.250 0.174
Te5 Te 0.409 0.750 0.436
Te6 Te 0.477 0.250 0.867
Te7 Te 0.523 0.750 0.133
Te8 Te 0.591 0.250 0.564
Te9 Te 0.718 0.750 0.826
Te10 Te 0.782 0.250 0.326
Te11 Te 0.909 0.750 0.064
Te12 Te 0.977 0.250 0.633
Au1 Au 0.229 0.750 0.303
Au2 Au 0.271 0.250 0.803
Au3 Au 0.729 0.750 0.197
Au4 Au 0.771 0.250 0.697


# YSnTe3Au, optimized geometry, DFT PBE
# **Calculated volume**: 362.8 Å³ per cell
# **Size of the total moment**: 0.01 μB/f.u.
# **Total DFT energy (no corrections)**: -4.52 eV/atom
# **Polymorph energy (0 for the lowest one)**: 0.03 eV/f.u.
# **SG**: P2_1/m, No. 11
data_YSnTe3Au
_symmetry_space_group_name_H-M 'P 1'
_symmetry_Int_Tables_number 1
_symmetry_space_group_name_Hall 'P 1'
_cell_length_a 8.286
_cell_length_b 4.300
_cell_length_c 10.637
_cell_angle_alpha 90.00
_cell_angle_beta 106.82
_cell_angle_gamma 90.00
loop_
_atom_site_label
_atom_site_type_symbol
_atom_site_fract_x
_atom_site_fract_y
_atom_site_fract_z
Y1 Y 0.206 0.250 0.179
Y2 Y 0.794 0.750 0.821
Sn1 Sn 0.219 0.750 0.707
Sn2 Sn 0.781 0.250 0.293
Te1 Te 0.079 0.250 0.871
Te2 Te 0.206 0.250 0.470
Te3 Te 0.463 0.750 0.163
Te4 Te 0.537 0.250 0.837
Te5 Te 0.794 0.750 0.530
Te6 Te 0.921 0.750 0.129
Au1 Au 0.399 0.750 0.403
Au2 Au 0.601 0.250 0.597


# ThSn2Au2, optimized geometry, DFT PBE
# **Calculated volume**: 122.7 Å³ per cell
# **Size of the total moment**: 0.00 μB/f.u.
# **Total DFT energy (no corrections)**: -4.77 eV/atom
# **SG**: I4/mmm, No. 139
data_ThSn2Au2
_symmetry_space_group_name_H-M 'P 1'
_symmetry_Int_Tables_number 1
_symmetry_space_group_name_Hall 'P 1'
_cell_length_a 6.773
_cell_length_b 6.773
_cell_length_c 6.773
_cell_angle_alpha 140.88
_cell_angle_beta 140.88
_cell_angle_gamma 56.52
loop_
_atom_site_label
_atom_site_type_symbol
_atom_site_fract_x
_atom_site_fract_y
_atom_site_fract_z
Th1 Th 0.000 0.000 0.000
Sn1 Sn 0.250 0.750 0.500
Sn2 Sn 0.750 0.250 0.500
Au1 Au 0.390 0.390 0.000
Au2 Au 0.610 0.610 0.000


# TlSn5Au3, optimized geometry, DFT PBE
# **Calculated volume**: 236.8 Å³ per cell
# **Total DFT energy (no corrections)**: -3.57 eV/atom
# **SG**: P6/mmm, No. 191
data_TlSn5Au3
_symmetry_space_group_name_H-M 'P 1'
_symmetry_Int_Tables_number 1
_symmetry_space_group_name_Hall 'P 1'
_cell_length_a 5.729
_cell_length_b 5.729
_cell_length_c 8.330
_cell_angle_alpha 90.00
_cell_angle_beta 90.00
_cell_angle_gamma 120.00
loop_
_atom_site_label
_atom_site_type_symbol
_atom_site_fract_x
_atom_site_fract_y
_atom_site_fract_z
Tl1 Tl 0.000 0.000 0.000
Sn1 Sn 0.000 0.000 0.500
Sn2 Sn 0.333 0.667 0.194
Sn3 Sn 0.333 0.667 0.806
Sn4 Sn 0.667 0.333 0.194
Sn5 Sn 0.667 0.333 0.806
Au1 Au 0.000 0.500 0.500
Au2 Au 0.500 0.000 0.500
Au3 Au 0.500 0.500 0.500


# Tm2SnAu2, optimized geometry, DFT PBE
# **Calculated volume**: 455.3 Å³ per cell
# **Size of the total moment**: 0.00 μB/f.u.
# **Total DFT energy (no corrections)**: -4.75 eV/atom
# **SG**: P4_2/mnm, No. 136
data_Tm2SnAu2
_symmetry_space_group_name_H-M 'P 1'
_symmetry_Int_Tables_number 1
_symmetry_space_group_name_Hall 'P 1'
_cell_length_a 7.844
_cell_length_b 7.844
_cell_length_c 7.400
_cell_angle_alpha 90.00
_cell_angle_beta 90.00
_cell_angle_gamma 90.00
loop_
_atom_site_label
_atom_site_type_symbol
_atom_site_fract_x
_atom_site_fract_y
_atom_site_fract_z
Tm1 Tm 0.157 0.157 0.000
Tm2 Tm 0.182 0.182 0.500
Tm3 Tm 0.318 0.682 0.000
Tm4 Tm 0.343 0.657 0.500
Tm5 Tm 0.657 0.343 0.500
Tm6 Tm 0.682 0.318 0.000
Tm7 Tm 0.818 0.818 0.500
Tm8 Tm 0.843 0.843 0.000
Sn1 Sn 0.000 0.500 0.250
Sn2 Sn 0.000 0.500 0.750
Sn3 Sn 0.500 0.000 0.250
Sn4 Sn 0.500 0.000 0.750
Au1 Au 0.129 0.871 0.276
Au2 Au 0.129 0.871 0.724
Au3 Au 0.371 0.371 0.224
Au4 Au 0.371 0.371 0.776
Au5 Au 0.629 0.629 0.224
Au6 Au 0.629 0.629 0.776
Au7 Au 0.871 0.129 0.276
Au8 Au 0.871 0.129 0.724


# U3Sn4Au3, optimized geometry, DFT PBE
# **Calculated volume**: 486.5 Å³ per cell
# **Size of the total moment**: 6.02 μB/f.u.
# **Total DFT energy (no corrections)**: -6.11 eV/atom
# **SG**: I-43d, No. 220
data_U3Sn4Au3
_symmetry_space_group_name_H-M 'P 1'
_symmetry_Int_Tables_number 1
_symmetry_space_group_name_Hall 'P 1'
_cell_length_a 8.582
_cell_length_b 8.582
_cell_length_c 8.582
_cell_angle_alpha 109.47
_cell_angle_beta 109.47
_cell_angle_gamma 109.47
loop_
_atom_site_label
_atom_site_type_symbol
_atom_site_fract_x
_atom_site_fract_y
_atom_site_fract_z
U1 U 0.125 0.875 0.250
U2 U 0.250 0.125 0.875
U3 U 0.375 0.625 0.750
U4 U 0.625 0.750 0.375
U5 U 0.750 0.375 0.625
U6 U 0.875 0.250 0.125
Sn1 Sn 0.000 0.188 0.500
Sn2 Sn 0.000 0.688 0.500
Sn3 Sn 0.188 0.500 0.000
Sn4 Sn 0.312 0.312 0.312
Sn5 Sn 0.500 0.000 0.188
Sn6 Sn 0.500 0.000 0.688
Sn7 Sn 0.688 0.500 0.000
Sn8 Sn 0.812 0.812 0.812
Au1 Au 0.125 0.750 0.875
Au2 Au 0.250 0.625 0.375
Au3 Au 0.375 0.250 0.625
Au4 Au 0.625 0.375 0.250
Au5 Au 0.750 0.875 0.125
Au6 Au 0.875 0.125 0.750


# Sn5W3Au, optimized geometry, DFT PBE
# **Calculated volume**: 206.8 Å³ per cell
# **Size of the total moment**: 0.00 μB/f.u.
# **Total DFT energy (no corrections)**: -6.53 eV/atom
# **SG**: P6/mmm, No. 191
data_Sn5W3Au
_symmetry_space_group_name_H-M 'P 1'
_symmetry_Int_Tables_number 1
_symmetry_space_group_name_Hall 'P 1'
_cell_length_a 5.545
_cell_length_b 5.545
_cell_length_c 7.768
_cell_angle_alpha 90.00
_cell_angle_beta 90.00
_cell_angle_gamma 120.00
loop_
_atom_site_label
_atom_site_type_symbol
_atom_site_fract_x
_atom_site_fract_y
_atom_site_fract_z
Sn1 Sn 0.000 0.000 0.000
Sn2 Sn 0.333 0.667 0.310
Sn3 Sn 0.333 0.667 0.690
Sn4 Sn 0.667 0.333 0.310
Sn5 Sn 0.667 0.333 0.690
W1 W 0.000 0.500 0.000
W2 W 0.500 0.000 0.000
W3 W 0.500 0.500 0.000
Au1 Au 0.000 0.000 0.500


# SnWAu, optimized geometry, DFT PBE
# **Calculated volume**: 65.7 Å³ per cell
# **Size of the total moment**: 2.68 μB/f.u.
# **Total DFT energy (no corrections)**: -5.77 eV/atom
# **Polymorph energy (0 for the lowest one)**: 0.59 eV/f.u.
# **SG**: F-43m, No. 216
data_SnWAu
_symmetry_space_group_name_H-M 'P 1'
_symmetry_Int_Tables_number 1
_symmetry_space_group_name_Hall 'P 1'
_cell_length_a 4.530
_cell_length_b 4.530
_cell_length_c 4.530
_cell_angle_alpha 60.00
_cell_angle_beta 60.00
_cell_angle_gamma 60.00
loop_
_atom_site_label
_atom_site_type_symbol
_atom_site_fract_x
_atom_site_fract_y
_atom_site_fract_z
Sn1 Sn 0.000 0.000 0.000
W1 W 0.500 0.500 0.500
Au1 Au 0.250 0.250 0.250


# SnWAu, optimized geometry, DFT PBE
# **Calculated volume**: 67.1 Å³ per cell
# **Size of the total moment**: 1.71 μB/f.u.
# **Total DFT energy (no corrections)**: -5.96 eV/atom
# **Polymorph energy (0 for the lowest one)**: 0.00 eV/f.u.
# **SG**: F-43m, No. 216
data_SnWAu
_symmetry_space_group_name_H-M 'P 1'
_symmetry_Int_Tables_number 1
_symmetry_space_group_name_Hall 'P 1'
_cell_length_a 4.562
_cell_length_b 4.562
_cell_length_c 4.562
_cell_angle_alpha 60.00
_cell_angle_beta 60.00
_cell_angle_gamma 60.00
loop_
_atom_site_label
_atom_site_type_symbol
_atom_site_fract_x
_atom_site_fract_y
_atom_site_fract_z
Sn1 Sn 0.000 0.000 0.000
W1 W 0.750 0.750 0.750
Au1 Au 0.500 0.500 0.500


total DFT energy (no corrections) of number 9 (U3Sn4Au3)? -6.11 eV/atom


Which of these has the highest total DFT energy (no corrections)? TlSn5Au3